(1)
Entry from Alexandria: crystalline CuC at its relaxed geometry (GGA-PBE).

a = 2.9835 Å, b = 2.9835 Å, c = 2.9835 Å
α = 60.00°, β = 60.00°, γ = 60.00°
Positions (direct):
Cu  0.0000  0.0000  0.0000
C  0.5000  0.5000  0.5000

energy above the most stable polymorph in this dataset	1482	meV per atom
DFT formation energy	1.702	eV per atom


(2)
Entry from Alexandria: crystalline K2CaW at its relaxed geometry (GGA-PBE).

a = 6.0881 Å, b = 6.0881 Å, c = 6.0881 Å
α = 60.00°, β = 60.00°, γ = 60.00°
Positions (direct):
K  0.2500  0.2500  0.2500
K  0.7500  0.7500  0.7500
Ca  0.0000  0.0000  0.0000
W  0.5000  0.5000  0.5000

energy above the most stable polymorph in this dataset	493	meV per atom
DFT formation energy	1.577	eV per atom


| no. | density (Mg/m³) |
| --- | --- |
| 1 | 6.68 |
| 2 | 3.14 |